The following is a PBE+U calculation of a relaxed Li2CdMoF8 crystal, from the Alexandria database.

a = 4.774 Å, b = 4.779 Å, c = 6.937 Å
α = 90.05°, β = 90.88°, γ = 92.09°
Element x y z (fractional)
Li (0.001, 0.008, 0.285)
Li (0.999, 0.992, 0.715)
Cd (0.500, 0.500, 0.500)
Mo (0.500, 0.500, 0.000)
F (0.188, 0.811, 0.499)
F (0.215, 0.784, 0.996)
F (0.296, 0.296, 0.223)
F (0.297, 0.296, 0.785)
F (0.703, 0.704, 0.215)
F (0.704, 0.704, 0.777)
F (0.785, 0.216, 0.004)
F (0.812, 0.189, 0.501)

* total magnetization: 0.17 μB/atom
* space-group type: No. 2
* total energy: -4.81 eV per atom
* theoretical density: 3.929 g cm⁻³